Entry 1:
VASP calculation (PBE-GGA) on an optimized crystal structure of Y2PSe.

- E_form (uncorrected): -1354 meV per atom
- ΔE to the lowest computed polymorph: 442 meV per atom
- Space group: No. 10

Lattice parameters (Å, degrees): 3.542 3.596 7.132 90.00 98.83 90.00
Fractional positions:
Y: 0.066 0.000 0.265
Y: 0.934 0.000 0.735
P: 0.500 0.500 0.500
Se: 0.500 0.500 0.000



Entry 2:
VASP calculation (PBE-GGA) on an optimized crystal structure of MgTl2HgRh.

- Space group: No. 123
- VASP energy: -2.850 eV/atom

Lattice parameters (Å, degrees): 5.286 5.286 5.074 90.00 90.00 90.00
Fractional positions:
Mg: 0.000 0.000 0.000
Tl: 0.000 0.500 0.500
Tl: 0.500 0.000 0.500
Hg: 0.500 0.500 0.000
Rh: 0.000 0.000 0.500



Entry 3:
VASP calculation (PBE-GGA) on an optimized crystal structure of HfNb2Al.

- Space group: No. 63
- VASP energy: -8.523 eV/atom

Lattice parameters (Å, degrees): 10.894 10.894 4.531 90.00 90.00 163.56
Fractional positions:
Hf: 0.105 0.895 0.750
Hf: 0.895 0.105 0.250
Nb: 0.261 0.739 0.250
Nb: 0.471 0.529 0.750
Nb: 0.529 0.471 0.250
Nb: 0.739 0.261 0.750
Al: 0.345 0.655 0.750
Al: 0.655 0.345 0.250



Entry 4:
VASP calculation (PBE-GGA) on an optimized crystal structure of BaHgI4.

- E_form (uncorrected): -1008 meV per atom
- ΔE to the lowest computed polymorph: 0 meV per atom
- Space group: No. 141

Lattice parameters (Å, degrees): 9.379 9.379 9.379 105.96 105.96 116.75
Fractional positions:
Ba: 0.375 0.625 0.750
Ba: 0.625 0.375 0.250
Hg: 0.125 0.875 0.250
Hg: 0.875 0.125 0.750
I: 0.109 0.675 0.434
I: 0.259 0.325 0.934
I: 0.325 0.259 0.434
I: 0.325 0.891 0.066
I: 0.675 0.109 0.934
I: 0.675 0.741 0.566
I: 0.741 0.675 0.066
I: 0.891 0.325 0.566



Entry 5:
VASP calculation (PBE-GGA) on an optimized crystal structure of TmThGa.

- ΔE to the lowest computed polymorph: 334 meV per atom
- Space group: No. 65

Lattice parameters (Å, degrees): 7.257 7.257 3.611 90.00 90.00 94.02
Fractional positions:
Tm: 0.219 0.219 0.000
Tm: 0.781 0.781 0.000
Th: 0.278 0.722 0.500
Th: 0.722 0.278 0.500
Ga: 0.000 0.000 0.500
Ga: 0.500 0.500 0.000



Entry 6:
VASP calculation (PBE-GGA) on an optimized crystal structure of Mg4GaAg2.

- ΔE to the lowest computed polymorph: 91 meV per atom
- Space group: No. 166

Lattice parameters (Å, degrees): 9.272 9.272 9.272 28.27 28.27 28.27
Fractional positions:
Mg: 0.123 0.123 0.123
Mg: 0.298 0.298 0.298
Mg: 0.702 0.702 0.702
Mg: 0.877 0.877 0.877
Ga: 0.500 0.500 0.500
Ag: 0.404 0.404 0.404
Ag: 0.596 0.596 0.596



Entry 7:
VASP calculation (PBE-GGA) on an optimized crystal structure of Na2Li2Tl.

- ΔE to the lowest computed polymorph: 164 meV per atom
- Space group: No. 139

Lattice parameters (Å, degrees): 9.349 9.349 9.349 155.47 155.47 34.97
Fractional positions:
Na: 0.103 0.103 0.000
Na: 0.897 0.897 0.000
Li: 0.250 0.750 0.500
Li: 0.750 0.250 0.500
Tl: 0.500 0.500 0.000



Entry 8:
VASP calculation (PBE-GGA) on an optimized crystal structure of CuNi5H6.

- Space group: No. 12
- VASP energy: -4.459 eV/atom

Lattice parameters (Å, degrees): 4.603 4.603 4.570 99.59 99.59 120.38
Fractional positions:
Cu: 0.000 0.000 0.000
Ni: 0.165 0.835 0.500
Ni: 0.333 0.667 0.000
Ni: 0.500 0.500 0.500
Ni: 0.667 0.333 0.000
Ni: 0.835 0.165 0.500
H: 0.085 0.449 0.259
H: 0.267 0.267 0.730
H: 0.449 0.085 0.259
H: 0.551 0.915 0.741
H: 0.733 0.733 0.270
H: 0.915 0.551 0.741



Entry 9:
VASP calculation (PBE-GGA) on an optimized crystal structure of DyBeCo2H8.

- Space group: No. 164
- VASP energy: -4.098 eV/atom

Lattice parameters (Å, degrees): 4.416 4.416 5.706 90.00 90.00 120.00
Fractional positions:
Dy: 0.000 0.000 0.000
Be: 0.000 0.000 0.500
Co: 0.333 0.667 0.371
Co: 0.667 0.333 0.629
H: 0.143 0.285 0.317
H: 0.143 0.857 0.317
H: 0.285 0.143 0.683
H: 0.333 0.667 0.097
H: 0.667 0.333 0.903
H: 0.715 0.857 0.317
H: 0.857 0.143 0.683
H: 0.857 0.715 0.683



Entry 10:
VASP calculation (PBE-GGA) on an optimized crystal structure of CdTeW2.

- E_form (uncorrected): 944 meV per atom
- ΔE to the lowest computed polymorph: 512 meV per atom
- Space group: No. 216

Lattice parameters (Å, degrees): 4.761 4.761 4.761 60.00 60.00 60.00
Fractional positions:
Cd: 0.000 0.000 0.000
Te: 0.250 0.250 0.250
W: 0.500 0.500 0.500
W: 0.750 0.750 0.750



Entry 11:
VASP calculation (PBE-GGA) on an optimized crystal structure of Dy2Nb2N3.

- E_form (uncorrected): -1255 meV per atom
- Space group: No. 12

Lattice parameters (Å, degrees): 5.917 5.917 5.664 107.47 107.47 32.89
Fractional positions:
Dy: 0.115 0.115 0.343
Dy: 0.885 0.885 0.657
Nb: 0.350 0.350 0.152
Nb: 0.650 0.650 0.848
N: 0.250 0.250 0.752
N: 0.500 0.500 0.500
N: 0.750 0.750 0.248



Entry 12:
VASP calculation (PBE-GGA) on an optimized crystal structure of Dy2Be2Si3.

- E_form (uncorrected): -495 meV per atom
- Space group: No. 63

Lattice parameters (Å, degrees): 9.198 9.198 6.640 90.00 90.00 155.48
Fractional positions:
Dy: 0.048 0.952 0.750
Dy: 0.168 0.832 0.250
Dy: 0.832 0.168 0.750
Dy: 0.952 0.048 0.250
Be: 0.333 0.667 0.092
Be: 0.333 0.667 0.408
Be: 0.667 0.333 0.592
Be: 0.667 0.333 0.908
Si: 0.209 0.791 0.750
Si: 0.439 0.561 0.574
Si: 0.439 0.561 0.926
Si: 0.561 0.439 0.074
Si: 0.561 0.439 0.426
Si: 0.791 0.209 0.250